# 1
Entry from the Alexandria database: a relaxed RbCrI4 crystal (PBE).

Structure (POSCAR):
```
RbCrI4
1.0
8.740 -3.487 0.000
8.740 3.487 0.000
-1.968 0.000 7.556
Rb Cr I
2 2 8
Cartesian
7.264 2.436 5.667 Rb
8.248 -2.436 1.889 Rb
4.370 1.744 0.000 Cr
3.386 -1.744 3.778 Cr
2.152 0.451 5.056 I
3.136 -0.451 1.278 I
6.864 0.844 0.474 I
9.633 0.844 3.304 I
5.880 -0.844 4.252 I
8.648 -0.844 7.082 I
12.376 0.451 6.278 I
13.360 -0.451 2.500 I
```

Output
For the total magnetization, the calculation gives 3.00 μB/f.u. Its symmetry is C2/c (15). The uncorrected formation energy comes out at -0.680 eV/atom.

=====

# 2
Entry from the Alexandria database: a relaxed RbCr2I crystal (PBE).

Structure (POSCAR):
```
RbCr2I
1.0
-2.830 2.830 10.561
2.830 -2.830 10.561
2.830 2.830 -10.561
Rb Cr I
2 4 2
Cartesian
2.830 1.415 2.640 Rb
0.000 1.415 7.920 Rb
0.000 0.000 0.000 Cr
1.415 1.415 -5.280 Cr
1.415 -1.415 5.280 Cr
0.000 2.830 0.000 Cr
2.830 -1.415 7.920 I
0.000 4.245 2.640 I
```

Output
For the total magnetization, the calculation gives 10.00 μB/f.u. The excess energy over the best structure of this formula in the dataset is 0.0000 eV/atom. Its symmetry is I4_1/amd (141). The uncorrected formation energy comes out at 0.805 eV/atom.

=====

# 3
Entry from the Alexandria database: a relaxed Rb3CrI crystal (PBE).

Structure (POSCAR):
```
Rb3CrI
1.0
7.005 0.000 0.000
0.000 7.005 0.000
0.000 0.000 7.005
Rb Cr I
3 1 1
Cartesian
0.000 0.000 3.502 Rb
0.000 3.502 0.000 Rb
3.502 0.000 0.000 Rb
3.502 3.502 3.502 Cr
0.000 0.000 0.000 I
```

Output
For the total magnetization, the calculation gives 5.65 μB/f.u. The excess energy over the best structure of this formula in the dataset is 0.0000 eV/atom. Its symmetry is Pm-3m (221). The uncorrected formation energy comes out at 0.087 eV/atom.